First-principles (PBE) data for Zr2NbPb after structural relaxation, as listed in OQMD.

Unit cell a=4.9550 b=4.9550 c=4.9550 alpha=60.00 beta=60.00 gamma=60.00
Last column: nearest neighbours and their distance in Å.
Fractional coordinates of all 4 atoms:
Zr (0.7500, 0.7500, 0.7500)  4 Zr 3.03, 4 Pb 3.03
Pb (0.5000, 0.5000, 0.5000)  4 Nb 3.03, 4 Zr 3.03
Zr (0.0000, 0.0000, 0.0000)  4 Nb 3.03, 4 Zr 3.03
Nb (0.2500, 0.2500, 0.2500)  4 Pb 3.03, 4 Zr 3.03

Results
Calculated density ... 9.31 g/cm³
Total energy ... -7.60 eV per atom
Symmetry ... F-43m


First-principles (PBE) data for HfHgTe after structural relaxation, as listed in OQMD.

Unit cell a=4.8768 b=4.8768 c=4.8768 alpha=60.00 beta=60.00 gamma=60.00
Last column: nearest neighbours and their distance in Å.
Fractional coordinates of all 3 atoms:
Hf (0.2500, 0.2500, 0.2500)  4 Te 2.99
Hg (0.7500, 0.7500, 0.7500)  4 Te 2.99
Te (0.0000, 0.0000, 0.0000)  4 Hg 2.99, 4 Hf 2.99

Results
Calculated density ... 10.26 g/cm³
Energy above the lowest structure with this stoichiometry ... 0.75 eV/f.u.
Symmetry ... F-43m


First-principles (PBE) data for RbLuIr after structural relaxation, as listed in OQMD.

Unit cell a=4.8626 b=4.8626 c=4.8626 alpha=60.00 beta=60.00 gamma=60.00
Last column: nearest neighbours and their distance in Å.
Fractional coordinates of all 3 atoms:
Ir (0.2500, 0.2500, 0.2500)  4 Rb 2.98
Lu (0.7500, 0.7500, 0.7500)  4 Rb 2.98
Rb (0.0000, 0.0000, 0.0000)  4 Ir 2.98, 4 Lu 2.98

Results
Calculated density ... 9.25 g/cm³
Energy above the lowest structure with this stoichiometry ... 2.98 eV/f.u.
Symmetry ... F-43m


First-principles (PBE) data for IrPb after structural relaxation, as listed in OQMD.

Unit cell a=3.8653 b=3.8653 c=6.6934 alpha=90.00 beta=90.00 gamma=120.00
Last column: nearest neighbours and their distance in Å.
Fractional coordinates of all 4 atoms:
Ir (0.6667, 0.3333, 0.2500)  6 Pb 2.79
Ir (0.3333, 0.6667, 0.7500)  6 Pb 2.79
Pb (0.0000, 0.0000, 0.5000)  6 Ir 2.79
Pb (0.0000, 0.0000, 0.0000)  6 Ir 2.79

Results
Calculated density ... 15.32 g/cm³
Total energy ... -5.58 eV per atom
Symmetry ... P6_3/mmc